# 1
Compound: PmCuPtO4
Source: Alexandria via LeMat-Bulk
Functional: PBE-GGA
Structure: optimized geometry

Cell: 6.6645 6.6645 6.6645 Å, 122.32 110.15 96.95°
Sites, in units of the cell vectors:
Pm 0.0000 0.0000 0.0000
Pm 0.5000 0.0000 0.5000
Cu 0.2851 0.5351 0.7500
Cu 0.7149 0.4649 0.2500
Pt 0.0000 0.0000 0.5000
Pt 0.0000 0.5000 0.0000
O 0.1628 0.7401 0.4227
O 0.1825 0.2599 0.9227
O 0.2396 0.2100 0.4704
O 0.2396 0.7692 0.0296
O 0.7604 0.2308 0.9704
O 0.7604 0.7900 0.5296
O 0.8175 0.7401 0.0773
O 0.8372 0.2599 0.5773

## Properties
- theoretical density (Mg/m³) = 7.16
- total moment (μB per atom) = 0.000
- E (eV/atom) = -6.3846

# 2
Compound: PmCu2PtO8
Source: Alexandria via LeMat-Bulk
Functional: PBE-GGA
Structure: optimized geometry

Cell: 5.8706 5.8706 5.8706 Å, 107.78 107.78 112.90°
Sites, in units of the cell vectors:
Pm 0.0000 0.0000 0.0000
Cu 0.2500 0.7500 0.5000
Cu 0.5000 0.5000 0.0000
Pt 0.7500 0.2500 0.5000
O 0.0225 0.3631 0.3406
O 0.0225 0.6819 0.6594
O 0.1028 0.3016 0.8011
O 0.3181 0.9775 0.3406
O 0.5005 0.3016 0.1989
O 0.6369 0.9775 0.6594
O 0.6984 0.4995 0.8011
O 0.6984 0.8972 0.1989

## Properties
- theoretical density (Mg/m³) = 6.36
- total moment (μB per atom) = 0.042
- E (eV/atom) = -5.4389
- density of states at the Fermi level (states/eV per atom) = 0.7904

# 3
Compound: PmPuCu2O6
Source: Alexandria via LeMat-Bulk
Functional: PBE-GGA
Structure: optimized geometry

Cell: 6.1699 6.1699 6.1699 Å, 52.83 52.83 52.83°
Sites, in units of the cell vectors:
Pm 0.0000 0.0000 0.0000
Pu 0.5000 0.5000 0.5000
Cu 0.2397 0.2397 0.2397
Cu 0.7603 0.7603 0.7603
O 0.1160 0.4212 0.7304
O 0.2696 0.8840 0.5788
O 0.4212 0.7304 0.1160
O 0.5788 0.2696 0.8840
O 0.7304 0.1160 0.4212
O 0.8840 0.5788 0.2696

## Properties
- theoretical density (Mg/m³) = 7.36
- total moment (μB per atom) = 0.097
- E (eV/atom) = -7.7288
- density of states at the Fermi level (states/eV per atom) = 0.4253

# 4
Compound: Pm2PuCuO8
Source: Alexandria via LeMat-Bulk
Functional: PBE-GGA
Structure: optimized geometry

Cell: 4.2973 5.2897 7.5035 Å, 79.85 85.39 80.07°
Sites, in units of the cell vectors:
Pm 0.0367 0.0612 0.2284
Pm 0.9633 0.9388 0.7716
Pu 0.5000 0.5000 0.5000
Cu 0.5000 0.5000 0.0000
O 0.0890 0.7234 0.5114
O 0.1630 0.7519 0.0430
O 0.4060 0.2177 0.6770
O 0.4643 0.3172 0.2388
O 0.5357 0.6828 0.7612
O 0.5940 0.7823 0.3230
O 0.8370 0.2481 0.9570
O 0.9110 0.2766 0.4886

## Properties
- theoretical density (Mg/m³) = 7.29
- total moment (μB per atom) = 0.079
- E (eV/atom) = -7.9946
- density of states at the Fermi level (states/eV per atom) = 0.0181

# 5
Compound: PmPu2CuO8
Source: Alexandria via LeMat-Bulk
Functional: PBE-GGA
Structure: optimized geometry

Cell: 6.4803 6.4803 6.4803 Å, 131.32 131.32 71.31°
Sites, in units of the cell vectors:
Pm 0.0000 0.0000 0.0000
Pu 0.2500 0.7500 0.5000
Pu 0.5000 0.5000 0.0000
Cu 0.7500 0.2500 0.5000
O 0.0964 0.5734 0.9621
O 0.1941 0.1159 0.5259
O 0.3318 0.8059 0.9218
O 0.4266 0.3887 0.5230
O 0.5900 0.6682 0.4741
O 0.6113 0.1343 0.0379
O 0.8657 0.9036 0.4770
O 0.8841 0.4100 0.0782

## Properties
- theoretical density (Mg/m³) = 9.11
- total moment (μB per atom) = 0.333
- E (eV/atom) = -8.7659
- density of states at the Fermi level (states/eV per atom) = 0.9080

# 6
Compound: RbPmCuO4
Source: Alexandria via LeMat-Bulk
Functional: PBE-GGA
Structure: optimized geometry

Cell: 5.9126 5.2321 8.0397 Å, 90.00 107.10 90.00°
Sites, in units of the cell vectors:
Rb 0.2022 0.2500 0.4454
Rb 0.7978 0.7500 0.5546
Pm 0.2577 0.2500 0.9509
Pm 0.7423 0.7500 0.0491
Cu 0.2885 0.7500 0.1971
Cu 0.7115 0.2500 0.8029
O 0.0644 0.7500 0.3077
O 0.0995 0.7500 0.9569
O 0.4957 0.0023 0.8092
O 0.4957 0.4977 0.8092
O 0.5043 0.5023 0.1908
O 0.5043 0.9977 0.1908
O 0.9005 0.2500 0.0431
O 0.9356 0.2500 0.6923

## Properties
- theoretical density (Mg/m³) = 5.00
- total moment (μB per atom) = 0.249
- E (eV/atom) = -5.7664
- density of states at the Fermi level (states/eV per atom) = 0.5487

# 7
Compound: Pm2CuRhO6
Source: Alexandria via LeMat-Bulk
Functional: PBE-GGA
Structure: optimized geometry

Cell: 5.4233 5.8699 9.3803 Å, 90.00 125.27 90.00°
Sites, in units of the cell vectors:
Pm 0.2276 0.0788 0.2497
Pm 0.2276 0.4212 0.7497
Pm 0.7724 0.5788 0.2503
Pm 0.7724 0.9212 0.7503
Cu 0.0000 0.0000 0.5000
Cu 0.0000 0.5000 0.0000
Rh 0.5000 0.0000 0.0000
Rh 0.5000 0.5000 0.5000
O 0.1383 0.1894 0.9468
O 0.1383 0.3106 0.4468
O 0.2636 0.7015 0.9452
O 0.2636 0.7985 0.4452
O 0.3565 0.0340 0.7470
O 0.3565 0.4660 0.2470
O 0.6435 0.5340 0.7530
O 0.6435 0.9660 0.2530
O 0.7364 0.2015 0.5548
O 0.7364 0.2985 0.0548
O 0.8617 0.6894 0.5532
O 0.8617 0.8106 0.0532

## Properties
- theoretical density (Mg/m³) = 7.53
- total moment (μB per atom) = 0.201
- E (eV/atom) = -7.1149
- density of states at the Fermi level (states/eV per atom) = 0.4863

# 8
Compound: Pm2Cu2RhO6
Source: Alexandria via LeMat-Bulk
Functional: PBE-GGA
Structure: optimized geometry

Cell: 6.0582 6.0582 6.0582 Å, 57.19 57.19 57.19°
Sites, in units of the cell vectors:
Pm 0.2097 0.2097 0.2097
Pm 0.7903 0.7903 0.7903
Cu 0.4130 0.4130 0.4130
Cu 0.5870 0.5870 0.5870
Rh 0.0000 0.0000 0.0000
O 0.2031 0.7604 0.7604
O 0.2396 0.2396 0.7969
O 0.2396 0.7969 0.2396
O 0.7604 0.2031 0.7604
O 0.7604 0.7604 0.2031
O 0.7969 0.2396 0.2396

## Properties
- theoretical density (Mg/m³) = 6.96
- total moment (μB per atom) = 0.076
- E (eV/atom) = -6.5542
- density of states at the Fermi level (states/eV per atom) = 0.8579